Computed, not measured: crystalline Y2CoO4 at its relaxed geometry at the PBE with a Hubbard U level of DFT.

Computed properties:
* electronic total energy: -112.9 eV for the cell shown
* crystal system: cubic

a = 6.5618 Å, b = 6.5618 Å, c = 6.5618 Å
α = 60.00°, β = 60.00°, γ = 60.00°
Positions (direct):
Y 0.0000 0.0000 0.0000
Y 0.0000 0.0000 0.5000
Y 0.0000 0.5000 0.0000
Y 0.5000 0.0000 0.0000
Co 0.3750 0.3750 0.3750
Co 0.6250 0.6250 0.6250
O 0.2352 0.7549 0.7549
O 0.2451 0.2451 0.2451
O 0.2451 0.2451 0.7648
O 0.2451 0.7648 0.2451
O 0.7549 0.2352 0.7549
O 0.7549 0.7549 0.2352
O 0.7549 0.7549 0.7549
O 0.7648 0.2451 0.2451